A.
## RbBiI2N (GGA-PBE)

Data for a relaxed structure of RbBiI2N.

Structure (CIF):
```
data_RbBiI2N
_cell_length_a 6.512
_cell_length_b 6.512
_cell_length_c 4.421
_cell_angle_alpha 90.00
_cell_angle_beta 90.00
_cell_angle_gamma 90.00
_space_group_name_H-M_alt 'P 1'
_space_group_IT_number 1
_space_group_name_Hall 'P 1'
loop_
_atom_site_label
_atom_site_type_symbol
_atom_site_fract_x
_atom_site_fract_y
_atom_site_fract_z
Rb1 Rb 0.000 0.000 0.000
Bi1 Bi 0.500 0.500 0.500
I1 I 0.000 0.500 0.000
I2 I 0.500 0.000 0.000
N1 N 0.000 0.000 0.500
```

B.
## RbBiI2N (GGA-PBE)

Data for a relaxed structure of RbBiI2N.

Structure (CIF):
```
data_RbBiI2N
_cell_length_a 6.554
_cell_length_b 6.554
_cell_length_c 4.325
_cell_angle_alpha 90.00
_cell_angle_beta 90.00
_cell_angle_gamma 90.00
_space_group_name_H-M_alt 'P 1'
_space_group_IT_number 1
_space_group_name_Hall 'P 1'
loop_
_atom_site_label
_atom_site_type_symbol
_atom_site_fract_x
_atom_site_fract_y
_atom_site_fract_z
Rb1 Rb 0.000 0.000 0.000
Bi1 Bi 0.500 0.500 0.500
I1 I 0.000 0.500 0.500
I2 I 0.500 0.000 0.500
N1 N 0.500 0.500 0.000
```

The data favor B; the next most stable structure lies 1.255 eV/atom above it.